Here is a geometry-optimized PrHo5Er structure from Alexandria. Energies are from PBE.

It has space group Immm (No. 71), with a = 5.772 Å, b = 8.636 Å, c = 11.820 Å, α = 90.00°, β = 90.00° and γ = 90.00°. The inequivalent atoms are Pr at (0.000, 0.000, 0.000), Ho at (0.000, 0.000, 0.253), Ho at (0.000, 0.321, 0.500), Ho at (0.000, 0.500, 0.000) and Er at (0.000, 0.000, 0.500).

The value obtained for the final energy is -48.80 eV for the cell shown. The density of states at the Fermi level is 8.454 states/eV/f.u. The calculated formation energy comes out at 756 kJ/mol of formula units.

Here is a geometry-optimized MgV2GeB structure from Alexandria. Energies are from PBE.

It has space group P4/mmm (No. 123), with a = 4.788 Å, b = 4.788 Å, c = 3.977 Å, α = 90.00°, β = 90.00° and γ = 90.00°. The inequivalent atoms are Mg at (0.000, 0.000, 0.000), V at (0.000, 0.500, 0.000), Ge at (0.500, 0.500, 0.500) and B at (0.000, 0.000, 0.500).

The value obtained for the final energy is -22.34 eV for the cell shown. The density of states at the Fermi level is 6.301 states/eV/f.u. The calculated formation energy comes out at 847 kJ/mol of formula units.

Here is a geometry-optimized Cr2Ir4Ru3 structure from Alexandria. Energies are from PBE.

It has space group P-1 (No. 2), with a = 4.701 Å, b = 6.924 Å, c = 8.368 Å, α = 71.42°, β = 73.73° and γ = 89.95°. The inequivalent atoms are Cr at (0.110, 0.363, 0.110), Cr at (0.331, 0.912, 0.668), Ir at (0.001, 0.581, 0.331), Ir at (0.219, 0.981, 0.221), Ir at (0.330, 0.745, 0.997), Ir at (0.445, 0.704, 0.445), Ru at (0.114, 0.190, 0.442), Ru at (0.221, 0.139, 0.890) and Ru at (0.438, 0.533, 0.780).

The value obtained for the final energy is -167.14 eV for the cell shown. The density of states at the Fermi level is 7.430 states/eV/f.u. The calculated formation energy comes out at -102 kJ/mol of formula units.